[1]
Here is a relaxed CrAsRu2 crystal from Alexandria. Energies are from PBE-GGA.

abc: 2.788 3.951 5.230
angles: 90.00 103.49 90.00
Space group P2/m (No. 10)
One atom of each set of equivalent atoms:
Cr 0.000 0.000 0.000 (multiplicity 1)
As 0.000 0.000 0.500 (multiplicity 1)
Ru 0.374 0.500 0.747 (multiplicity 2)

---

[2]
Here is a relaxed Mg5Ni6Sn crystal from Alexandria. Energies are from PBE-GGA.

abc: 4.362 13.102 6.035
angles: 90.00 90.00 90.00
Space group Cmmm (No. 65)
One atom of each set of equivalent atoms:
Mg 0.000 0.000 0.000 (multiplicity 2)
Mg 0.000 0.330 0.500 (multiplicity 4)
Mg 0.000 0.332 0.000 (multiplicity 4)
Ni 0.000 0.165 0.250 (multiplicity 8)
Ni 0.000 0.500 0.253 (multiplicity 4)
Sn 0.000 0.000 0.500 (multiplicity 2)

---

Across the entries above, formation energy takes the values 98.7 -198.1 meV/atom, respectively.